Record 1
TaCd2Ni | GGA-PBE | relaxed

Unit cell a=7.564 b=7.564 c=5.261 alpha=90.00 beta=90.00 gamma=90.00
Space group I-42d (No. 122)
One atom of each set of equivalent atoms:
Ta  0.000  0.000  0.000 [4 per cell]
Cd  0.211  0.750  0.625 [8 per cell]
Ni  0.000  0.000  0.500 [4 per cell]

## Properties
ΔH_f (0 K) = 668.1 meV per atom
DOS(E_F) = 0.84 states/eV per atom
DFT total energy = -67.17 eV per cell
E above lowest polymorph = 0.637 eV per atom

Record 2
ErSnH | GGA-PBE | relaxed

Unit cell a=3.770 b=3.770 c=7.791 alpha=90.00 beta=90.00 gamma=90.00
Space group P4/nmm (No. 129, origin choice 2)
One atom of each set of equivalent atoms:
Er  0.250  0.250  0.159 [2 per cell]
Sn  0.250  0.250  0.612 [2 per cell]
H  0.250  0.750  0.000 [2 per cell]

## Properties
DOS(E_F) = 0.48 states/eV per atom
DFT total energy = -26.94 eV per cell
E above lowest polymorph = 0.101 eV per atom

Record 3
Pr2SmGa3 | GGA-PBE | relaxed

Unit cell a=4.753 b=21.539 c=6.316 alpha=90.00 beta=90.00 gamma=90.00
Space group Cmcm (No. 63)
One atom of each set of equivalent atoms:
Pr  0.000  0.034  0.250 [4 per cell]
Pr  0.000  0.145  0.750 [4 per cell]
Sm  0.000  0.323  0.750 [4 per cell]
Ga  0.000  0.260  0.250 [4 per cell]
Ga  0.000  0.438  0.047 [8 per cell]

## Properties
ΔH_f (0 K) = -471.3 meV per atom
DOS(E_F) = 0.98 states/eV per atom
DFT total energy = -104.75 eV per cell
E above lowest polymorph = 0.079 eV per atom

Record 4
Sc3CoSi2 | GGA-PBE | relaxed

Unit cell a=6.3359 b=6.3359 c=6.5268 alpha=90.00 beta=90.00 gamma=120.00
Space group P6_3/mmc (No. 194)
One atom of each set of equivalent atoms:
Sc  0.1678  0.3356  0.2500 [6 per cell]
Co  0.0000  0.0000  0.0000 [2 per cell]
Si  0.3333  0.6667  0.5781 [4 per cell]

## Properties
Raw formation energy = -0.206 eV per atom
DOS(E_F) = 0.56 states/eV per atom
DFT total energy = -76.37 eV per cell
E above lowest polymorph = 0.513 eV per atom

Record 5
TeOsRuW2 | GGA-PBE | relaxed

Unit cell a=4.795 b=4.795 c=4.736 alpha=90.00 beta=90.00 gamma=90.00
Space group P4/mmm (No. 123)
One atom of each set of equivalent atoms:
Te  0.000  0.000  0.000 [1 per cell]
Os  0.500  0.500  0.500 [1 per cell]
Ru  0.500  0.500  0.000 [1 per cell]
W  0.000  0.500  0.500 [2 per cell]

## Properties
Raw formation energy = 1.827 eV per atom
DOS(E_F) = 1.24 states/eV per atom
DFT total energy = -40.42 eV per cell

Record 6
Ce2HoS4 | GGA-PBE | relaxed

Unit cell a=3.843 b=13.405 c=13.336 alpha=90.00 beta=90.00 gamma=90.00
Space group Cmcm (No. 63)
One atom of each set of equivalent atoms:
Ce  0.000  0.132  0.071 [8 per cell]
Ho  0.000  0.375  0.250 [4 per cell]
S  0.000  0.021  0.250 [4 per cell]
S  0.000  0.219  0.627 [8 per cell]
S  0.000  0.500  0.000 [4 per cell]

## Properties
Raw formation energy = -1.949 eV per atom
DOS(E_F) = 1.80 states/eV per atom
DFT total energy = -186.40 eV per cell

Record 7
Er3ZnTc | GGA-PBE | relaxed

Unit cell a=4.885 b=19.268 c=4.904 alpha=90.00 beta=90.00 gamma=90.00
Space group Cmcm (No. 63)
One atom of each set of equivalent atoms:
Er  0.000  0.072  0.250 [4 per cell]
Er  0.000  0.250  0.250 [4 per cell]
Er  0.000  0.425  0.250 [4 per cell]
Zn  0.000  0.340  0.750 [4 per cell]
Tc  0.000  0.156  0.750 [4 per cell]

## Properties
ΔH_f (0 K) = -162.5 meV per atom
DOS(E_F) = 0.95 states/eV per atom
DFT total energy = -104.56 eV per cell

Record 8
ZrAlSi | GGA-PBE | relaxed

Unit cell a=3.025 b=3.600 c=9.582 alpha=90.00 beta=90.00 gamma=90.00
Space group Imm2 (No. 44)
One atom of each set of equivalent atoms:
Zr  0.000  0.000  0.000 [2 per cell]
Al  0.000  0.000  0.690 [2 per cell]
Si  0.000  0.000  0.322 [2 per cell]

## Properties
Raw formation energy = -0.331 eV per atom
DOS(E_F) = 0.72 states/eV per atom
DFT total energy = -37.41 eV per cell

Record 9
Pu4Ge3Pd | GGA-PBE | relaxed

Unit cell a=2.964 b=5.452 c=10.827 alpha=90.00 beta=90.00 gamma=90.00
Space group Pmmm (No. 47)
One atom of each set of equivalent atoms:
Pu  0.000  0.000  0.000 [1 per cell]
Pu  0.000  0.000  0.500 [1 per cell]
Pu  0.000  0.500  0.250 [2 per cell]
Ge  0.500  0.000  0.248 [2 per cell]
Ge  0.500  0.500  0.500 [1 per cell]
Pd  0.500  0.500  0.000 [1 per cell]

## Properties
ΔH_f (0 K) = -392.4 meV per atom
DOS(E_F) = 3.72 states/eV per atom
DFT total energy = -79.51 eV per cell

Record 10
CeY3Tm4 | GGA-PBE | relaxed

Unit cell a=23.362 b=3.401 c=6.658 alpha=90.00 beta=106.49 gamma=90.00
Space group C2/m (No. 12)
One atom of each set of equivalent atoms:
Ce  0.000  0.000  0.000 [2 per cell]
Y  0.000  0.500  0.500 [2 per cell]
Y  0.127  0.500  0.371 [4 per cell]
Tm  0.125  0.500  0.884 [4 per cell]
Tm  0.241  0.000  0.233 [4 per cell]

## Properties
ΔH_f (0 K) = 197.6 meV per atom
DOS(E_F) = 2.07 states/eV per atom
DFT total energy = -83.26 eV per cell
E above lowest polymorph = 0.000 eV per atom

Record 11
AcCuSe3 | GGA-PBE | relaxed

Unit cell a=4.905 b=4.905 c=4.905 alpha=90.00 beta=90.00 gamma=90.00
Space group Pm-3m (No. 221)
One atom of each set of equivalent atoms:
Ac  0.000  0.000  0.000 [1 per cell]
Cu  0.500  0.500  0.500 [1 per cell]
Se  0.000  0.500  0.500 [3 per cell]

## Properties
Raw formation energy = -0.910 eV per atom
DOS(E_F) = 0.58 states/eV per atom
DFT total energy = -23.21 eV per cell
E above lowest polymorph = 0.079 eV per atom

Record 12
Tl2Ge4Au5 | GGA-PBE | relaxed

Unit cell a=7.273 b=9.682 c=7.379 alpha=90.00 beta=104.00 gamma=90.00
Space group Cm (No. 8)
One atom of each set of equivalent atoms:
Tl  0.000  0.000  0.000 [2 per cell]
Tl  0.218  0.500  0.487 [2 per cell]
Ge  0.018  0.366  0.043 [4 per cell]
Ge  0.148  0.138  0.482 [4 per cell]
Au  0.196  0.240  0.817 [4 per cell]
Au  0.331  0.255  0.259 [4 per cell]
Au  0.438  0.000  0.711 [2 per cell]

## Properties
ΔH_f (0 K) = 45.2 meV per atom
DOS(E_F) = 0.28 states/eV per atom
DFT total energy = -78.18 eV per cell
E above lowest polymorph = 0.005 eV per atom

Record 13
PrNd2DySc | GGA-PBE | relaxed

Unit cell a=6.306 b=7.796 c=6.704 alpha=90.00 beta=90.00 gamma=90.00
Space group Pmma (No. 51)
One atom of each set of equivalent atoms:
Pr  0.250  0.000  0.196 [2 per cell]
Nd  0.250  0.208  0.719 [4 per cell]
Dy  0.250  0.500  0.095 [2 per cell]
Sc  0.000  0.500  0.500 [2 per cell]

## Properties
ΔH_f (0 K) = 188.4 meV per atom
DOS(E_F) = 1.08 states/eV per atom
DFT total energy = -48.61 eV per cell

Record 14
SbMoI3 | GGA-PBE | relaxed

Unit cell a=6.038 b=6.038 c=6.038 alpha=90.00 beta=90.00 gamma=90.00
Space group Pm-3m (No. 221)
One atom of each set of equivalent atoms:
Sb  0.000  0.000  0.000 [1 per cell]
Mo  0.500  0.500  0.500 [1 per cell]
I  0.000  0.000  0.500 [3 per cell]

## Properties
Raw formation energy = 0.878 eV per atom
DOS(E_F) = 0.52 states/eV per atom
DFT total energy = -15.22 eV per cell
E above lowest polymorph = 0.267 eV per atom

Record 15
SrHf2Rh | GGA-PBE | relaxed

Unit cell a=6.965 b=6.965 c=6.965 alpha=90.00 beta=90.00 gamma=90.00
Space group Fm-3m (No. 225)
One atom of each set of equivalent atoms:
Sr  0.000  0.000  0.000 [4 per cell]
Hf  0.250  0.250  0.250 [8 per cell]
Rh  0.000  0.000  0.500 [4 per cell]

## Properties
ΔH_f (0 K) = 338.5 meV per atom
DOS(E_F) = 1.58 states/eV per atom
DFT total energy = -110.34 eV per cell
E above lowest polymorph = 0.000 eV per atom

Record 16
AcNd2YS6 | GGA-PBE | relaxed

Unit cell a=7.2291 b=7.2291 c=19.0085 alpha=90.00 beta=90.00 gamma=120.00
Space group R3 (No. 146, hexagonal axes)
One atom of each set of equivalent atoms:
Ac  0.0000  0.0000  0.0000 [3 per cell]
Nd  0.0000  0.0000  0.2835 [3 per cell]
Nd  0.0000  0.0000  0.7901 [3 per cell]
Y  0.0000  0.0000  0.4895 [3 per cell]
S  0.0228  0.7271  0.3906 [9 per cell]
S  0.0338  0.3560  0.5558 [9 per cell]

## Properties
Raw formation energy = -2.045 eV per atom
DOS(E_F) = 0.00 states/eV per atom
DFT total energy = -195.98 eV per cell

Record 17
FeIrI2N | GGA-PBE | relaxed

Unit cell a=5.640 b=5.640 c=3.697 alpha=90.00 beta=90.00 gamma=90.00
Space group P4/mmm (No. 123)
One atom of each set of equivalent atoms:
Fe  0.000  0.000  0.000 [1 per cell]
Ir  0.500  0.500  0.500 [1 per cell]
I  0.000  0.500  0.500 [2 per cell]
N  0.500  0.500  0.000 [1 per cell]

## Properties
Raw formation energy = 0.787 eV per atom
DOS(E_F) = 1.14 states/eV per atom
DFT total energy = -24.82 eV per cell
E above lowest polymorph = 0.000 eV per atom

Record 18
Os3RhW | GGA-PBE | relaxed

Unit cell a=5.2072 b=5.2072 c=13.0747 alpha=90.00 beta=90.00 gamma=120.00
Space group R-3m (No. 166, hexagonal axes)
One atom of each set of equivalent atoms:
Os  0.0000  0.5000  0.0000 [9 per cell]
Rh  0.0000  0.0000  0.5000 [3 per cell]
W  0.0000  0.0000  0.0000 [3 per cell]

## Properties
ΔH_f (0 K) = 1473.7 meV per atom
DOS(E_F) = 1.57 states/eV per atom
DFT total energy = -139.88 eV per cell
E above lowest polymorph = 0.000 eV per atom

Record 19
MgTi | GGA-PBE | relaxed

Unit cell a=4.823 b=12.785 c=5.074 alpha=90.00 beta=90.00 gamma=90.00
Space group Pmmn (No. 59, origin choice 2)
One atom of each set of equivalent atoms:
Mg  0.250  0.119  0.182 [4 per cell]
Mg  0.250  0.250  0.698 [2 per cell]
Mg  0.250  0.750  0.687 [2 per cell]
Ti  0.250  0.502  0.670 [4 per cell]
Ti  0.250  0.607  0.190 [4 per cell]

## Properties
ΔH_f (0 K) = 186.7 meV per atom
DOS(E_F) = 1.15 states/eV per atom
DFT total energy = -72.93 eV per cell

Record 20
PrThSi2Pt2 | GGA-PBE | relaxed

Unit cell a=4.2468 b=4.2468 c=8.3157 alpha=90.00 beta=90.00 gamma=120.00
Space group P-3m1 (No. 164)
One atom of each set of equivalent atoms:
Pr  0.0000  0.0000  0.0000 [1 per cell]
Th  0.0000  0.0000  0.5000 [1 per cell]
Si  0.3333  0.6667  0.7466 [2 per cell]
Pt  0.3333  0.6667  0.2571 [2 per cell]

## Properties
Raw formation energy = -1.134 eV per atom
DOS(E_F) = 0.75 states/eV per atom
DFT total energy = -41.93 eV per cell

Record 21
LiInTc2 | GGA-PBE | relaxed

Unit cell a=10.041 b=3.220 c=4.190 alpha=90.00 beta=114.55 gamma=90.00
Space group C2/m (No. 12)
One atom of each set of equivalent atoms:
Li  0.000  0.000  0.000 [2 per cell]
In  0.000  0.500  0.500 [2 per cell]
Tc  0.244  0.500  0.244 [4 per cell]

## Properties
ΔH_f (0 K) = 206.4 meV per atom
DOS(E_F) = 0.70 states/eV per atom
DFT total energy = -49.12 eV per cell

Record 22
SrAsBr2F | GGA-PBE | relaxed

Unit cell a=5.721 b=5.721 c=4.089 alpha=90.00 beta=90.00 gamma=90.00
Space group P4/mmm (No. 123)
One atom of each set of equivalent atoms:
Sr  0.000  0.000  0.000 [1 per cell]
As  0.500  0.500  0.000 [1 per cell]
Br  0.000  0.500  0.500 [2 per cell]
F  0.500  0.500  0.500 [1 per cell]

## Properties
Raw formation energy = -1.031 eV per atom
DOS(E_F) = 0.33 states/eV per atom
DFT total energy = -16.70 eV per cell

Record 23
BaNF | GGA-PBE | relaxed

Unit cell a=3.718 b=3.718 c=20.240 alpha=90.00 beta=90.00 gamma=90.00
Space group I4/mmm (No. 139)
One atom of each set of equivalent atoms:
Ba  0.000  0.000  0.155 [4 per cell]
N  0.000  0.000  0.410 [4 per cell]
F  0.000  0.000  0.286 [4 per cell]

## Properties
Raw formation energy = -0.884 eV per atom
DOS(E_F) = 0.63 states/eV per atom
DFT total energy = -59.09 eV per cell

Record 24
Ti2NbSb | GGA-PBE | relaxed

Unit cell a=7.497 b=7.497 c=5.608 alpha=90.00 beta=90.00 gamma=90.00
Space group I-42d (No. 122)
One atom of each set of equivalent atoms:
Ti  0.239  0.250  0.125 [8 per cell]
Nb  0.000  0.000  0.000 [4 per cell]
Sb  0.000  0.000  0.500 [4 per cell]

## Properties
Raw formation energy = 0.301 eV per atom
DOS(E_F) = 1.42 states/eV per atom
DFT total energy = -115.11 eV per cell

Record 25
Ac2Ge2F | GGA-PBE | relaxed

Unit cell a=13.318 b=6.408 c=6.485 alpha=90.00 beta=102.90 gamma=90.00
Space group C2/c (No. 15)
One atom of each set of equivalent atoms:
Ac  0.115  0.218  0.065 [8 per cell]
Ge  0.175  0.293  0.583 [8 per cell]
F  0.000  0.017  0.750 [4 per cell]

## Properties
Raw formation energy = -1.461 eV per atom
DOS(E_F) = 0.37 states/eV per atom
DFT total energy = -106.52 eV per cell

no.,density (kg/m³)
1,10249
2,8605
3,6589
4,3659
5,11997
6,5544
7,9571
8,4656
9,12342
10,7089
11,7420
12,11095
13,6417
14,4514
15,10761
16,4614
17,7285
18,13912
19,3064
20,10474
21,8563
22,4236
23,4044
24,6540
25,7612